# 1
Compound: NaGaS2Cl
Source: Alexandria
Functional: PBE-GGA
Structure: relaxed

Values from the calculation:
**Density of states at the Fermi level**: 0.829 states/eV/atom
**E above lowest polymorph**: 756 meV/atom
**Total magnetic moment**: 3.01 μB per cell
**Formation energy (no corrections)**: 0.2614 eV/atom

a b c (Å): 5.228 5.228 5.186
angles (deg): 90.00 90.00 90.00
Space group P4/mmm (No. 123)
Symmetry-distinct sites (fractional):
Na  0.000  0.000  0.000 x1
Ga  0.500  0.500  0.500 x1
S  0.000  0.500  0.000 x2
Cl  0.000  0.000  0.500 x1


# 2
Compound: NaGaSCl2
Source: Alexandria
Functional: PBE-GGA
Structure: relaxed

Values from the calculation:
**Density of states at the Fermi level**: 0.705 states/eV/atom
**E above lowest polymorph**: 628 meV/atom
**Total magnetic moment**: 2.01 μB per cell
**Formation energy (no corrections)**: -0.2115 eV/atom

a b c (Å): 5.305 5.305 5.187
angles (deg): 90.00 90.00 90.00
Space group P4/mmm (No. 123)
Symmetry-distinct sites (fractional):
Na  0.000  0.000  0.000 x1
Ga  0.500  0.500  0.500 x1
S  0.000  0.000  0.500 x1
Cl  0.000  0.500  0.000 x2


# 3
Compound: NaScGa2Cl6
Source: Alexandria
Functional: PBE-GGA
Structure: relaxed

Values from the calculation:
**Density of states at the Fermi level**: 0.000 states/eV/atom
**Total magnetic moment**: 0.00 μB per cell
**Formation energy (no corrections)**: -1.4936 eV/atom

a b c (Å): 6.911 7.579 12.100
angles (deg): 90.00 123.09 90.00
Space group P2_1/c (No. 14)
Symmetry-distinct sites (fractional):
Na  0.000  0.000  0.000 x2
Sc  0.500  0.000  0.500 x2
Ga  0.204  0.079  0.723 x4
Cl  0.160  0.176  0.462 x4
Cl  0.258  0.726  0.434 x4
Cl  0.376  0.046  0.265 x4